# Li2NiP2O7

An optimized crystal structure of Li2NiP2O7 (PBE+U, Alexandria via LeMat-Bulk).

## Properties
Excess energy over the best structure of this formula in the dataset   0.0 kJ per mole of atoms
Uncorrected energy   -77.54 eV/f.u.
M_tot   0.17 μB/atom

abc: 4.9958 8.2756 7.1249
angles: 90.00 109.22 90.00
Closest atoms and distances in Å follow each position.
Positions (direct):
Li (0.1491, 0.0000, 0.4143)  3 O 1.95-2.04
Li (0.3309, 0.3282, 0.8507)  4 O 1.93-2.10
Li (0.6691, 0.8282, 0.1493)  4 O 1.93-2.10
Li (0.8509, 0.5000, 0.5857)  3 O 1.95-2.04
Ni (0.2982, 0.6868, 0.7791)  6 O 2.02-2.21
Ni (0.7018, 0.1868, 0.2209)  6 O 2.02-2.21
P (0.1098, 0.9974, 0.9804)  4 O 1.53-1.62
P (0.2839, 0.3893, 0.4147)  4 O 1.53-1.63
P (0.7161, 0.8893, 0.5853)  4 O 1.53-1.63
P (0.8902, 0.4974, 0.0196)  4 O 1.53-1.62
O (0.0712, 0.4945, 0.8821)  1 P 1.54
O (0.1028, 0.5162, 0.2466)  2 P 1.62-1.63
O (0.1130, 0.2341, 0.4028)  1 P 1.53
O (0.2716, 0.8390, 0.9940)  1 P 1.53
O (0.3029, 0.1452, 0.0134)  1 P 1.53
O (0.3144, 0.4787, 0.6099)  1 P 1.54
O (0.4270, 0.8625, 0.6113)  1 P 1.53
O (0.5730, 0.3625, 0.3887)  1 P 1.53
O (0.6856, 0.9787, 0.3901)  1 P 1.54
O (0.6971, 0.6452, 0.9866)  1 P 1.53
O (0.7284, 0.3390, 0.0060)  1 P 1.53
O (0.8870, 0.7341, 0.5972)  1 P 1.53
O (0.8972, 0.0162, 0.7534)  2 P 1.62-1.63
O (0.9288, 0.9945, 0.1179)  1 P 1.54